# 1
The following is a DFT calculation (PBE-GGA) of a relaxed YAl2Tc2C crystal.

Results
E_tot   -7.68 eV per atom
Symmetry   P4/mmm, No. 123

```
YAl2Tc2C
1.0
-2.812 -1.394 2.760
3.089 -1.107 2.588
-0.175 4.984 2.340
Al Y Tc C
2 1 2 1
Direct
0.500 0.500 0.731
0.500 0.500 0.269
0.000 0.000 0.500
0.000 0.500 0.000
0.500 0.000 0.000
0.000 0.000 0.000
```

---

# 2
The following is a DFT calculation (PBE-GGA) of a relaxed AlTe3C crystal.

Results
Distance to the lowest polymorph of the same formula   681 meV/atom
Raw formation energy   1.62 eV per atom
E_tot   -2.86 eV per atom
Symmetry   Pm-3m, No. 221

```
AlTe3C
1.0
5.296 0.000 0.000
0.000 5.296 0.000
0.000 0.000 5.296
Te C Al
3 1 1
Direct
0.500 0.000 0.000
0.000 0.500 0.000
0.000 0.000 0.500
0.500 0.500 0.500
0.000 0.000 0.000
```

---

# 3
The following is a DFT calculation (PBE-GGA) of a relaxed AlTe3C crystal.

Results
Distance to the lowest polymorph of the same formula   0 meV/atom
Raw formation energy   0.94 eV per atom
E_tot   -3.54 eV per atom
Symmetry   Pm-3m, No. 221

```
AlTe3C
1.0
4.809 0.000 0.000
0.000 4.809 0.000
0.000 0.000 4.809
Al Te C
1 3 1
Direct
0.500 0.500 0.500
0.000 0.000 0.500
0.000 0.500 0.000
0.500 0.000 0.000
0.000 0.000 0.000
```

---

# 4
The following is a DFT calculation (PBE-GGA) of a relaxed AlTeC2 crystal.

Results
Distance to the lowest polymorph of the same formula   0 meV/atom
Raw formation energy   1.02 eV per atom
E_tot   -5.32 eV per atom
Symmetry   I-42d, No. 122

```
AlTeC2
1.0
-3.988 2.702 -0.874
-1.428 -3.211 -3.408
-5.206 -2.821 1.323
Al C Te
2 4 2
Direct
0.500 0.500 0.000
0.250 0.750 0.500
0.875 0.840 0.750
0.590 0.125 0.250
0.160 0.625 0.250
0.375 0.410 0.750
0.750 0.250 0.500
0.000 0.000 0.000
```

---

# 5
The following is a DFT calculation (PBE-GGA) of a relaxed AlTeC2 crystal.

Results
Distance to the lowest polymorph of the same formula   1071 meV/atom
Raw formation energy   2.09 eV per atom
E_tot   -4.25 eV per atom
Symmetry   Fm-3m, No. 225

```
AlTeC2
1.0
2.101 -1.980 2.989
-1.873 -0.924 3.593
-0.911 -3.951 0.912
Te Al C
1 1 2
Direct
0.500 0.500 0.500
0.000 0.000 0.000
0.750 0.750 0.750
0.250 0.250 0.250
```

---

# 6
The following is a DFT calculation (PBE-GGA) of a relaxed AlTeC3 crystal.

Results
Distance to the lowest polymorph of the same formula   572 meV/atom
Raw formation energy   2.85 eV per atom
E_tot   -4.06 eV per atom
Symmetry   Pm-3m, No. 221

```
AlTeC3
1.0
4.169 0.000 0.000
0.000 4.169 0.000
0.000 0.000 4.169
Al C Te
1 3 1
Direct
0.500 0.500 0.500
0.000 0.000 0.500
0.000 0.500 0.000
0.500 0.000 0.000
0.000 0.000 0.000
```

---

# 7
The following is a DFT calculation (PBE-GGA) of a relaxed AlTeC3 crystal.

Results
Distance to the lowest polymorph of the same formula   0 meV/atom
Raw formation energy   2.28 eV per atom
E_tot   -4.63 eV per atom
Symmetry   Pm-3m, No. 221

```
AlTeC3
1.0
4.039 0.000 0.000
0.000 4.039 0.000
0.000 0.000 4.039
C Al Te
3 1 1
Direct
0.000 0.000 0.500
0.500 0.000 0.000
0.000 0.500 0.000
0.000 0.000 0.000
0.500 0.500 0.500
```

---

# 8
The following is a DFT calculation (PBE-GGA) of a relaxed Th2AlC crystal.

Results
E_tot   -7.01 eV per atom
Symmetry   Ima2, No. 46

```
Th2AlC
1.0
-4.511 -1.354 1.323
-0.386 -6.880 0.691
-0.144 -1.834 6.677
C Al Th
2 2 4
Direct
0.624 0.870 0.882
0.376 0.618 0.630
0.824 0.204 0.148
0.176 0.352 0.296
0.430 0.859 0.280
0.570 0.220 0.641
0.139 0.800 0.922
0.861 0.578 0.700
```

---

# 9
The following is a DFT calculation (PBE-GGA) of a relaxed ThAlC2 crystal.

Results
E_tot   -6.89 eV per atom
Symmetry   R-3m, No. 166

```
ThAlC2
1.0
-2.309 -1.863 2.592
1.604 -2.269 2.793
0.065 3.331 5.447
Th C Al
1 2 1
Direct
0.500 0.500 0.500
0.104 0.104 0.687
0.896 0.896 0.313
0.000 0.000 0.000
```

---

# 10
The following is a DFT calculation (PBE-GGA) of a relaxed Th4AlC2 crystal.

Results
E_tot   -7.64 eV per atom
Symmetry   Cmcm, No. 63

```
Th4AlC2
1.0
-0.148 0.258 -3.826
4.728 -4.569 1.433
-9.195 -9.607 -0.290
Th C Al
8 4 2
Direct
0.233 0.466 0.607
0.767 0.534 0.107
0.917 0.835 0.750
0.500 0.000 0.500
0.233 0.466 0.893
0.083 0.165 0.250
0.767 0.534 0.393
0.500 0.000 0.000
0.138 0.277 0.060
0.862 0.723 0.560
0.138 0.277 0.440
0.862 0.723 0.940
0.399 0.798 0.250
0.601 0.202 0.750
```

---

# 11
The following is a DFT calculation (PBE-GGA) of a relaxed Th2AlC crystal.

Results
E_tot   -7.22 eV per atom
Symmetry   Cmcm, No. 63

```
Th2AlC
1.0
-2.432 0.072 2.762
-1.926 -4.446 -1.580
7.589 -4.836 4.355
Al C Th
2 2 4
Direct
0.960 0.750 0.920
0.040 0.250 0.080
0.807 0.250 0.614
0.193 0.750 0.386
0.396 0.250 0.792
0.604 0.750 0.208
0.792 0.750 0.583
0.208 0.250 0.417
```

---

# 12
The following is a DFT calculation (PBE-GGA) of a relaxed Th4Al2C crystal.

Results
E_tot   -6.72 eV per atom
Symmetry   I4/mmm, No. 139

```
Th4Al2C
1.0
-0.666 4.698 1.487
-4.386 -1.249 1.982
6.065 -3.372 5.058
Al C Th
2 1 4
Direct
0.365 0.365 0.731
0.635 0.635 0.269
0.000 0.000 0.000
0.164 0.164 0.329
0.836 0.836 0.671
0.500 0.000 0.000
0.000 0.500 0.000
```

---

# 13
The following is a DFT calculation (PBE-GGA) of a relaxed Th2AlC crystal.

Results
E_tot   -7.16 eV per atom
Symmetry   R-3m, No. 166

```
Th2AlC
1.0
3.725 0.000 0.000
1.863 3.226 0.000
1.863 1.075 7.943
Th Al C
2 1 1
Direct
0.771 0.771 0.686
0.229 0.229 0.314
0.000 0.000 0.000
0.500 0.500 0.500
```

---

# 14
The following is a DFT calculation (PBE-GGA) of a relaxed Th6AlC5 crystal.

Results
E_tot   -7.95 eV per atom
Symmetry   P6_3/mcm, No. 193

```
Th6AlC5
1.0
6.611 0.000 0.000
-3.305 5.725 0.000
0.000 0.000 12.995
C Al Th
10 2 12
Direct
0.000 0.695 0.750
0.667 0.333 0.000
0.333 0.667 0.000
0.305 0.000 0.250
0.333 0.667 0.500
0.695 0.000 0.750
0.305 0.305 0.750
0.000 0.305 0.250
0.667 0.333 0.500
0.695 0.695 0.250
0.000 0.000 0.750
0.000 0.000 0.250
0.624 0.000 0.120
0.376 0.376 0.120
0.624 0.624 0.620
0.624 0.000 0.380
0.000 0.376 0.880
0.376 0.000 0.880
0.000 0.624 0.380
0.376 0.000 0.620
0.000 0.624 0.120
0.376 0.376 0.380
0.624 0.624 0.880
0.000 0.376 0.620
```

---

# 15
The following is a DFT calculation (PBE-GGA) of a relaxed Tm2ThAlC crystal.

Results
E_tot   -6.22 eV per atom
Symmetry   P4/mmm, No. 123

```
Tm2ThAlC
1.0
5.029 0.000 0.000
0.000 4.825 0.000
0.000 0.000 4.825
Th Tm C Al
1 2 1 1
Direct
0.500 0.000 0.000
0.000 0.500 0.000
0.000 0.000 0.500
0.000 0.000 0.000
0.500 0.500 0.500
```

---

# 16
The following is a DFT calculation (PBE-GGA) of a relaxed Y2ThAlC crystal.

Results
E_tot   -7.01 eV per atom
Symmetry   P4/mmm, No. 123

```
Y2ThAlC
1.0
5.036 0.000 0.000
0.000 4.911 0.000
0.000 0.000 4.911
Y C Al Th
2 1 1 1
Direct
0.000 0.500 0.000
0.000 0.000 0.500
0.000 0.000 0.000
0.500 0.500 0.500
0.500 0.000 0.000
```

---

# 17
The following is a DFT calculation (PBE-GGA) of a relaxed Ti2AlC crystal.

Results
Distance to the lowest polymorph of the same formula   43 meV/atom
E_tot   -7.85 eV per atom
Symmetry   R-3m, No. 166

```
Ti2AlC
1.0
-3.042 0.408 -0.081
1.556 -0.467 -2.605
-0.954 -6.629 2.418
Ti C Al
2 1 1
Direct
0.279 0.057 0.334
0.721 0.943 0.666
0.000 0.500 0.500
0.500 0.500 0.000
```

---

# 18
The following is a DFT calculation (PBE-GGA) of a relaxed TiAlC crystal.

Results
E_tot   -6.91 eV per atom
Symmetry   Fmm2, No. 42

```
TiAlC
1.0
-0.110 1.114 2.691
-0.605 -2.848 -0.116
5.086 -0.163 -0.669
Ti Al C
1 1 1
Direct
0.033 0.033 0.065
0.302 0.302 0.604
0.665 0.665 0.330
```

---

# 19
The following is a DFT calculation (PBE-GGA) of a relaxed TiAl3C crystal.

Results
E_tot   -5.29 eV per atom
Symmetry   Pm-3m, No. 221

```
TiAl3C
1.0
-1.837 -1.087 -3.550
-2.261 -2.814 2.031
-2.945 2.839 0.655
Ti Al C
1 3 1
Direct
0.500 0.500 0.500
0.500 0.000 0.000
0.000 0.500 0.000
0.000 0.000 0.500
0.000 0.000 0.000
```

---

# 20
The following is a DFT calculation (PBE-GGA) of a relaxed Ti4AlC crystal.

Results
E_tot   -7.83 eV per atom
Symmetry   C2/c, No. 15

```
Ti4AlC
1.0
5.106 0.000 0.000
0.000 5.668 0.254
-2.553 -2.052 6.186
Ti C Al
8 2 2
Direct
0.276 0.651 0.387
0.889 0.849 0.613
0.484 0.048 0.801
0.516 0.952 0.199
0.683 0.452 0.199
0.724 0.349 0.613
0.317 0.548 0.801
0.111 0.151 0.387
0.000 0.500 0.500
0.500 0.000 0.500
0.918 0.750 0.000
0.082 0.250 0.000
```